The following is a DFT calculation (PBE) of a relaxed Ti2BeV crystal.

Calculated values
space group	R3m (160)
energy of formation from the pure elements	0.2045	eV/atom

Geometry as POSCAR:
```
Ti2BeV
1.0
-0.8982 -0.7616 2.5686
1.3946 -1.9809 1.4546
5.0210 5.0496 4.8074
Ti Be V
2 1 1
direct
0.0792 0.0792 0.7623
0.2544 0.2544 0.2369
0.6667 0.6667 0.9998
0.4997 0.4997 0.5010
```